## Ba2YRu (GGA-PBE)

Data for crystalline Ba2YRu at its relaxed geometry.

SG   I-4m2 (119)
Crystal system   tetragonal
Total moment   0.0 μB per formula unit
ΔH_f (0 K)   0.55 eV/atom
Polymorph energy (0 for the lowest one)   173.2 kJ/mol of formula units

a b c (Å): 5.5804 5.5804 5.5804
angles (deg): 120.10 120.10 89.83
Element x y z (fractional)
Ba 0.0000 0.0000 0.0000
Ba 0.2500 0.7500 0.5000
Ru 0.5000 0.5000 0.0000
Y 0.7500 0.2500 0.5000